Material: KCr2S4
Method: DFT, PBE
State: relaxed

Lattice parameters (Å, degrees): 6.8925 15.3150 5.9717 90.00 90.00 90.00
Last column: nearest neighbours and their distance in Å.
Sites, in units of the cell vectors:
1 K 0.2500 0.2500 0.0249  6 S 3.13-3.24
2 K 0.2500 0.7500 0.3601  6 S 3.13-3.25
3 K 0.7500 0.2500 0.6399  6 S 3.13-3.25
4 K 0.7500 0.7500 0.9751  6 S 3.13-3.24
5 Cr 0.0000 0.0000 0.5000  6 S 2.38-2.39
6 Cr 0.0000 0.5000 0.5000  6 S 2.38-2.39
7 Cr 0.2500 0.0000 0.0027  6 S 2.37-2.40
8 Cr 0.2500 0.5000 0.0027  6 S 2.37-2.40
9 Cr 0.5000 0.0000 0.5000  6 S 2.38-2.39
10 Cr 0.5000 0.5000 0.5000  6 S 2.38-2.39
11 Cr 0.7500 0.0000 0.9973  6 S 2.37-2.40
12 Cr 0.7500 0.5000 0.9973  6 S 2.37-2.40
13 S 0.0000 0.0867 0.8337  3 Cr 2.38-2.40
14 S 0.0000 0.4133 0.8337  3 Cr 2.38-2.40
15 S 0.0000 0.5867 0.1663  3 Cr 2.38-2.40
16 S 0.0000 0.9133 0.1663  3 Cr 2.38-2.40
17 S 0.2500 0.0860 0.3369  3 Cr 2.38-2.39
18 S 0.2500 0.4140 0.3369  3 Cr 2.38-2.39
19 S 0.2500 0.5856 0.6710  3 Cr 2.37-2.39
20 S 0.2500 0.9144 0.6710  3 Cr 2.37-2.39
21 S 0.5000 0.0867 0.8337  3 Cr 2.38-2.40
22 S 0.5000 0.4133 0.8337  3 Cr 2.38-2.40
23 S 0.5000 0.5867 0.1663  3 Cr 2.38-2.40
24 S 0.5000 0.9133 0.1663  3 Cr 2.38-2.40
25 S 0.7500 0.0856 0.3290  3 Cr 2.37-2.39
26 S 0.7500 0.4144 0.3290  3 Cr 2.37-2.39
27 S 0.7500 0.5860 0.6631  3 Cr 2.38-2.39
28 S 0.7500 0.9140 0.6631  3 Cr 2.38-2.39

Results
VASP energy	-6.1079	eV/atom
space-group type	No. 59
excess energy over the best structure of this formula in the dataset	0	meV/atom

***

Material: KCr2S4
Method: DFT, PBE
State: relaxed

Lattice parameters (Å, degrees): 13.3500 3.4360 13.8184 90.00 90.00 90.00
Last column: nearest neighbours and their distance in Å.
Sites, in units of the cell vectors:
1 K 0.1054 0.2500 0.1413  7 S 3.19-3.38, 2 K 3.44
2 K 0.3946 0.7500 0.6413  7 S 3.19-3.38, 2 K 3.44
3 K 0.6054 0.2500 0.3587  7 S 3.19-3.38, 2 K 3.44
4 K 0.8946 0.7500 0.8587  7 S 3.19-3.38, 2 K 3.44
5 Cr 0.1031 0.7500 0.4591  6 S 2.36-2.43
6 Cr 0.2027 0.7500 0.8885  5 S 2.23-2.38
7 Cr 0.2973 0.2500 0.3885  5 S 2.23-2.38
8 Cr 0.3969 0.2500 0.9591  6 S 2.36-2.43
9 Cr 0.6031 0.7500 0.0409  6 S 2.36-2.43
10 Cr 0.7027 0.7500 0.6115  5 S 2.23-2.38
11 Cr 0.7973 0.2500 0.1115  5 S 2.23-2.38
12 Cr 0.8969 0.2500 0.5409  6 S 2.36-2.43
13 S 0.0018 0.7500 0.5998  3 Cr 2.36-2.37
14 S 0.0896 0.2500 0.9080  2 Cr 2.30
15 S 0.2016 0.7500 0.3127  3 Cr 2.38-2.41
16 S 0.2113 0.2500 0.5268  3 Cr 2.23-2.43
17 S 0.2887 0.7500 0.0268  3 Cr 2.23-2.43
18 S 0.2984 0.2500 0.8127  3 Cr 2.38-2.41
19 S 0.4104 0.7500 0.4080  2 Cr 2.30
20 S 0.4982 0.2500 0.0998  3 Cr 2.36-2.37
21 S 0.5018 0.7500 0.9002  3 Cr 2.36-2.37
22 S 0.5896 0.2500 0.5920  2 Cr 2.30
23 S 0.7016 0.7500 0.1873  3 Cr 2.38-2.41
24 S 0.7113 0.2500 0.9732  3 Cr 2.23-2.43
25 S 0.7887 0.7500 0.4732  3 Cr 2.23-2.43
26 S 0.7984 0.2500 0.6873  3 Cr 2.38-2.41
27 S 0.9104 0.7500 0.0920  2 Cr 2.30
28 S 0.9982 0.2500 0.4002  3 Cr 2.36-2.37

Results
VASP energy	-6.0467	eV/atom
space-group type	No. 62
excess energy over the best structure of this formula in the dataset	61	meV/atom

***

Material: KCr2S4
Method: DFT, PBE
State: relaxed

Lattice parameters (Å, degrees): 3.5911 3.5911 12.2962 90.00 90.00 120.00
Last column: nearest neighbours and their distance in Å.
Sites, in units of the cell vectors:
1 K 0.0000 0.0000 0.0000  6 S 3.11
2 Cr 0.3333 0.6667 0.2951  6 S 2.36-2.46
3 Cr 0.3333 0.6667 0.7049  6 S 2.36-2.46
4 S 0.0000 0.0000 0.3868  3 Cr 2.36
5 S 0.0000 0.0000 0.6132  3 Cr 2.36
6 S 0.6667 0.3333 0.1880  3 Cr 2.46
7 S 0.6667 0.3333 0.8120  3 Cr 2.46

Results
VASP energy	-6.0032	eV/atom
space-group type	No. 187
excess energy over the best structure of this formula in the dataset	105	meV/atom

***

Material: KCr2S4
Method: DFT, PBE
State: relaxed

Lattice parameters (Å, degrees): 8.0706 8.0706 5.5373 101.98 101.98 22.75
Last column: nearest neighbours and their distance in Å.
Sites, in units of the cell vectors:
1 K 0.0000 0.0000 0.0000  6 S 3.14-3.29, 2 K 3.18
2 Cr 0.2535 0.2535 0.3052  6 S 2.25-2.40
3 Cr 0.7465 0.7465 0.6948  6 S 2.25-2.40
4 S 0.1475 0.1475 0.5183  3 Cr 2.25-2.30
5 S 0.3271 0.3271 0.9680  3 Cr 2.37-2.40
6 S 0.6729 0.6729 0.0320  3 Cr 2.37-2.40
7 S 0.8525 0.8525 0.4817  3 Cr 2.25-2.30

Results
VASP energy	-6.0304	eV/atom
space-group type	No. 12
excess energy over the best structure of this formula in the dataset	78	meV/atom

***

Computed DOS(E_F), in the same sequence as the records: 0.928; 0.549; 0.150; 0.643 states/eV/atom.
Computed raw formation energy, in the same sequence as the records: -0.84; -0.78; -0.74; -0.77 eV/atom.
Computed V, in the same sequence as the records: 22.513; 22.638; 19.618; 19.471 Å³/atom.